Material: LiTiSe3
Method: DFT, PBE
State: relaxed

Cell: 4.983 4.983 4.983 Å, 90.00 90.00 90.00°
Space group Pm-3m (No. 221)
Symmetry-distinct sites (fractional):
Li (0.000, 0.000, 0.000)
Ti (0.500, 0.500, 0.500)
Se (0.000, 0.500, 0.500)

Calculated values
The value obtained for the energy relative to the lowest polymorph listed for this composition is 243 meV per atom. The formation energy from raw total energies comes out at -0.683 eV/atom. The value obtained for the volume is 24.7 Å³/atom. As for the crystal system: cubic. The value obtained for the calculated total energy is -23.68 eV/f.u.